DFT (GGA+U) results for an optimized crystal structure of Li3Co3Bi2O12.

Lattice parameters (Å, degrees): 10.289 10.289 10.289 109.47 109.47 109.47
Site moments in Bohr magnetons follow the coordinates.
Element x y z (fractional)
Bi: 0.000 0.000 0.000  0.03
Bi: 0.500 0.000 0.000  0.03
Bi: 0.500 0.500 0.000  0.02
Bi: 0.000 0.500 0.000  0.03
Bi: 0.500 0.000 0.500  0.03
Bi: 0.000 0.500 0.500  0.02
Bi: 0.000 0.000 0.500  0.02
Bi: 0.500 0.500 0.500  0.02
Co: 0.250 0.875 0.125  2.45
Co: 0.375 0.250 0.125  2.45
Co: 0.875 0.125 0.250  2.45
Co: 0.375 0.625 0.250  2.45
Co: 0.750 0.625 0.375  2.46
Co: 0.125 0.750 0.375  2.45
Co: 0.875 0.250 0.625  2.45
Co: 0.250 0.375 0.625  2.46
Co: 0.625 0.375 0.750  2.45
Co: 0.125 0.875 0.750  2.45
Co: 0.625 0.750 0.875  2.45
Co: 0.750 0.125 0.875  2.45
Li: 0.875 0.750 0.125  0.00
Li: 0.750 0.375 0.125  0.00
Li: 0.125 0.375 0.250  0.00
Li: 0.625 0.875 0.250  0.00
Li: 0.250 0.125 0.375  0.00
Li: 0.625 0.250 0.375  0.00
Li: 0.375 0.750 0.625  0.00
Li: 0.750 0.875 0.625  0.00
Li: 0.375 0.125 0.750  0.00
Li: 0.875 0.625 0.750  0.00
Li: 0.125 0.250 0.875  0.00
Li: 0.250 0.625 0.875  0.00
O: 0.234 0.631 0.050  -0.24
O: 0.316 0.418 0.050  -0.27
O: 0.631 0.897 0.082  -0.24
O: 0.950 0.184 0.082  -0.24
O: 0.869 0.918 0.103  -0.24
O: 0.734 0.184 0.103  -0.24
O: 0.050 0.734 0.131  -0.24
O: 0.582 0.397 0.131  -0.27
O: 0.450 0.082 0.184  -0.24
O: 0.234 0.103 0.184  -0.24
O: 0.131 0.550 0.234  -0.24
O: 0.603 0.684 0.234  -0.26
O: 0.316 0.397 0.266  -0.26
O: 0.450 0.869 0.266  -0.24
O: 0.918 0.550 0.316  -0.25
O: 0.897 0.766 0.316  -0.24
O: 0.266 0.950 0.369  -0.24
O: 0.603 0.418 0.369  -0.26
O: 0.082 0.131 0.397  -0.25
O: 0.816 0.266 0.397  -0.25
O: 0.103 0.369 0.418  -0.25
O: 0.816 0.050 0.418  -0.25
O: 0.582 0.684 0.450  -0.27
O: 0.369 0.766 0.450  -0.24
O: 0.631 0.234 0.550  -0.24
O: 0.418 0.316 0.550  -0.27
O: 0.184 0.950 0.582  -0.25
O: 0.897 0.631 0.582  -0.25
O: 0.184 0.734 0.603  -0.25
O: 0.918 0.869 0.603  -0.25
O: 0.397 0.582 0.631  -0.26
O: 0.734 0.050 0.631  -0.24
O: 0.082 0.450 0.684  -0.25
O: 0.103 0.234 0.684  -0.24
O: 0.550 0.131 0.734  -0.24
O: 0.684 0.603 0.734  -0.26
O: 0.397 0.316 0.766  -0.26
O: 0.869 0.450 0.766  -0.24
O: 0.766 0.897 0.816  -0.24
O: 0.550 0.918 0.816  -0.24
O: 0.418 0.603 0.869  -0.26
O: 0.950 0.266 0.869  -0.24
O: 0.266 0.816 0.897  -0.24
O: 0.131 0.082 0.897  -0.24
O: 0.050 0.816 0.918  -0.24
O: 0.369 0.103 0.918  -0.24
O: 0.684 0.582 0.950  -0.27
O: 0.766 0.369 0.950  -0.24

Results
SG = Ia-3d (230)
E = -5.19 eV/atom
M_tot = 4.0 μB per formula unit